Entry 1:
NaCa2Ac: relaxed, PBE.

Output
E above lowest polymorph (meV per atom): 0
Formation enthalpy at 0 K (eV per atom): 0.0514
Energy (eV per atom): -2.3063

Structure (CIF):
```
data_NaCa2Ac
_chemical_formula_sum 'Na3 Ca6 Ac3'
_symmetry_space_group_name_H-M 'R -3 m'
_symmetry_Int_Tables_number 166
_symmetry_space_group_name_Hall '-R 3 2"'
_cell_length_a 3.9047
_cell_length_b 3.9047
_cell_length_c 38.0775
_cell_angle_alpha 90.00
_cell_angle_beta 90.00
_cell_angle_gamma 120.00
loop_
_atom_site_label
_atom_site_fract_x
_atom_site_fract_y
_atom_site_fract_z
Na1 0.0000 0.0000 0.0000
Ca1 0.0000 0.0000 0.2509
Ac1 0.0000 0.0000 0.5000
```

***

Entry 2:
NaCa2Ac: relaxed, PBE.

Output
E above lowest polymorph (meV per atom): 4
Formation enthalpy at 0 K (eV per atom): 0.0555
Energy (eV per atom): -2.3021

Structure (CIF):
```
data_NaCa2Ac
_chemical_formula_sum 'Na3 Ca6 Ac3'
_symmetry_space_group_name_H-M 'R 3 m'
_symmetry_Int_Tables_number 160
_symmetry_space_group_name_Hall 'R 3 -2"'
_cell_length_a 3.9223
_cell_length_b 3.9223
_cell_length_c 37.8569
_cell_angle_alpha 90.00
_cell_angle_beta 90.00
_cell_angle_gamma 120.00
loop_
_atom_site_label
_atom_site_fract_x
_atom_site_fract_y
_atom_site_fract_z
Na1 0.0000 0.0000 0.0000
Ca1 0.0000 0.0000 0.4156
Ca2 0.0000 0.0000 0.5846
Ac1 0.0000 0.0000 0.8335
```

***

Entry 3:
NaCa2Ac: relaxed, PBE.

Output
E above lowest polymorph (meV per atom): 145
Formation enthalpy at 0 K (eV per atom): 0.1968
Energy (eV per atom): -2.1608

Structure (CIF):
```
data_NaCa2Ac
_chemical_formula_sum 'Na4 Ca8 Ac4'
_symmetry_space_group_name_H-M 'F m -3 m'
_symmetry_Int_Tables_number 225
_symmetry_space_group_name_Hall '-F 4 2 3'
_cell_length_a 8.7578
_cell_length_b 8.7578
_cell_length_c 8.7578
_cell_angle_alpha 90.00
_cell_angle_beta 90.00
_cell_angle_gamma 90.00
loop_
_atom_site_label
_atom_site_fract_x
_atom_site_fract_y
_atom_site_fract_z
Na1 0.0000 0.0000 0.0000
Ca1 0.2500 0.2500 0.2500
Ac1 0.0000 0.0000 0.5000
```

***

Entry 4:
NaCaAc2: relaxed, PBE.

Output
E above lowest polymorph (meV per atom): 83
Formation enthalpy at 0 K (eV per atom): 0.1744
Energy (eV per atom): -2.7100

Structure (CIF):
```
data_NaCaAc2
_chemical_formula_sum 'Na4 Ca4 Ac8'
_symmetry_space_group_name_H-M 'F m -3 m'
_symmetry_Int_Tables_number 225
_symmetry_space_group_name_Hall '-F 4 2 3'
_cell_length_a 8.7872
_cell_length_b 8.7872
_cell_length_c 8.7872
_cell_angle_alpha 90.00
_cell_angle_beta 90.00
_cell_angle_gamma 90.00
loop_
_atom_site_label
_atom_site_fract_x
_atom_site_fract_y
_atom_site_fract_z
Na1 0.0000 0.0000 0.0000
Ca1 0.0000 0.0000 0.5000
Ac1 0.2500 0.2500 0.2500
```

***

Entry 5:
NaCaAc4: relaxed, PBE.

Output
Formation enthalpy at 0 K (eV per atom): 0.3116
Energy (eV per atom): -2.9808

Structure (CIF):
```
data_NaCaAc4
_chemical_formula_sum 'Na4 Ca4 Ac16'
_symmetry_space_group_name_H-M 'F -4 3 m'
_symmetry_Int_Tables_number 216
_symmetry_space_group_name_Hall 'F -4 2 3'
_cell_length_a 10.5379
_cell_length_b 10.5379
_cell_length_c 10.5379
_cell_angle_alpha 90.00
_cell_angle_beta 90.00
_cell_angle_gamma 90.00
loop_
_atom_site_label
_atom_site_fract_x
_atom_site_fract_y
_atom_site_fract_z
Na1 0.0000 0.0000 0.0000
Ca1 0.2500 0.2500 0.2500
Ac1 0.1242 0.1242 0.6242
```

***

Entry 6:
Na2Ca6Ac: relaxed, PBE.

Output
Formation enthalpy at 0 K (eV per atom): 0.0727
Energy (eV per atom): -2.0113

Structure (CIF):
```
data_Na2Ca6Ac
_chemical_formula_sum 'Na2 Ca6 Ac1'
_symmetry_space_group_name_H-M 'P -6 m 2'
_symmetry_Int_Tables_number 187
_symmetry_space_group_name_Hall 'P -6 2'
_cell_length_a 3.8813
_cell_length_b 3.8813
_cell_length_c 29.0160
_cell_angle_alpha 90.00
_cell_angle_beta 90.00
_cell_angle_gamma 120.00
loop_
_atom_site_label
_atom_site_fract_x
_atom_site_fract_y
_atom_site_fract_z
Na1 0.0000 0.0000 0.1693
Ca1 0.0000 0.0000 0.3873
Ca2 0.6667 0.3333 0.0618
Ca3 0.6667 0.3333 0.2779
Ac1 0.6667 0.3333 0.5000
```